(1)
A relaxed structure of ZrCd2Br, computed with PBE-GGA.

Summary:
DOS(E_F) ... 2.32 states/eV/cell
E_form (uncorrected) ... 0.044 eV per atom
Offset from the most stable computed form ... 0.3764 eV per atom
Crystal system ... tetragonal

a = 5.5229 Å, b = 5.5229 Å, c = 5.5229 Å
α = 132.00°, β = 132.00°, γ = 70.22°
Closest atoms and distances in Å follow each position.
Sites, in units of the cell vectors:
Cd 0.2500 0.7500 0.5000  4 Br 3.18, 4 Cd 3.19, 4 Zr 3.19
Cd 0.0000 0.0000 0.0000  4 Zr 3.18, 4 Cd 3.19, 4 Br 3.19
Br 0.7500 0.2500 0.5000  8 Cd 3.18-3.19, 4 Zr 3.19
Zr 0.5000 0.5000 0.0000  8 Cd 3.18-3.19, 4 Br 3.19

=====

(2)
A relaxed structure of ZrCdBr2, computed with PBE-GGA.

Summary:
DOS(E_F) ... 1.63 states/eV/cell
E_form (uncorrected) ... -0.527 eV per atom
Offset from the most stable computed form ... 0.2514 eV per atom
Crystal system ... tetragonal

a = 3.4758 Å, b = 3.4758 Å, c = 8.5372 Å
α = 90.00°, β = 90.00°, γ = 89.97°
Closest atoms and distances in Å follow each position.
Sites, in units of the cell vectors:
Br 0.0000 0.0000 0.9292  4 Zr 2.93-2.94
Br 0.5000 0.5000 0.3164  4 Cd 2.98
Zr 0.5000 0.5000 0.7413  4 Br 2.93-2.94, 4 Cd 3.14
Cd 0.0000 0.0000 0.5131  4 Br 2.98, 4 Zr 3.14

=====

(3)
A relaxed structure of ZrCdBr, computed with PBE-GGA.

Summary:
DOS(E_F) ... 3.30 states/eV/cell
E_form (uncorrected) ... -0.470 eV per atom
Offset from the most stable computed form ... 0.0231 eV per atom
Crystal system ... trigonal

a = 3.4278 Å, b = 3.4278 Å, c = 7.5791 Å
α = 90.00°, β = 90.00°, γ = 120.00°
Closest atoms and distances in Å follow each position.
Sites, in units of the cell vectors:
Zr 0.3333 0.6667 0.6845  3 Br 2.76, 3 Cd 3.05
Cd 0.6667 0.3333 0.3777  3 Zr 3.05
Br 0.0000 0.0000 0.9378  3 Zr 2.76

=====

(4)
A relaxed structure of ZrCd2Br, computed with PBE-GGA.

Summary:
DOS(E_F) ... 3.80 states/eV/cell
E_form (uncorrected) ... -0.094 eV per atom
Offset from the most stable computed form ... 0.2386 eV per atom
Crystal system ... orthorhombic

a = 5.6836 Å, b = 5.6836 Å, c = 3.3154 Å
α = 89.98°, β = 89.98°, γ = 119.53°
Closest atoms and distances in Å follow each position.
Sites, in units of the cell vectors:
Zr 0.5000 0.0000 0.5000  2 Br 2.86
Br 0.0000 0.5000 0.5000  2 Zr 2.86
Cd 0.5000 0.5000 0.0000  2 Cd 2.86
Cd 0.0000 0.0000 0.0000  2 Cd 2.86

=====

(5)
A relaxed structure of ZrCdBr2, computed with PBE-GGA.

Summary:
DOS(E_F) ... 9.06 states/eV/cell
E_form (uncorrected) ... -0.430 eV per atom
Offset from the most stable computed form ... 0.3489 eV per atom
Crystal system ... tetragonal

a = 9.4587 Å, b = 9.4587 Å, c = 7.3575 Å
α = 50.00°, β = 50.00°, γ = 90.00°
Closest atoms and distances in Å follow each position.
Sites, in units of the cell vectors:
Br 0.2611 0.6250 0.2500  2 Zr 2.71
Br 0.8750 0.7389 0.7500  2 Zr 2.71
Br 0.3750 0.5111 0.7500  2 Zr 2.71
Br 0.4889 0.1250 0.2500  2 Zr 2.71
Zr 0.2500 0.7500 0.5000  4 Br 2.71
Zr 0.5000 0.5000 0.0000  4 Br 2.71
Cd 0.0000 0.0000 0.0000  2 Zr 3.07
Cd 0.7500 0.2500 0.5000  2 Zr 3.07

=====

(6)
A relaxed structure of ZrCdBr4, computed with PBE-GGA.

Summary:
DOS(E_F) ... 10.32 states/eV/cell
E_form (uncorrected) ... 0.513 eV per atom
Crystal system ... cubic

a = 6.2070 Å, b = 6.2070 Å, c = 6.2070 Å
α = 60.00°, β = 60.00°, γ = 60.00°
Closest atoms and distances in Å follow each position.
Sites, in units of the cell vectors:
Br 0.8773 0.3742 0.3742  6 Br 3.08-3.12
Br 0.3742 0.3742 0.8773  6 Br 3.08-3.12
Br 0.3742 0.8773 0.3742  6 Br 3.08-3.12
Br 0.3742 0.3742 0.3742  6 Br 3.08-3.12
Zr 0.0000 0.0000 0.0000  12 Br 3.64, 4 Cd 3.80
Cd 0.7500 0.7500 0.7500  12 Br 3.64, 4 Zr 3.80

=====

(7)
A relaxed structure of Zr2Cd2Br, computed with PBE-GGA.

Summary:
DOS(E_F) ... 6.79 states/eV/cell
E_form (uncorrected) ... -0.163 eV per atom
Crystal system ... tetragonal

a = 7.1161 Å, b = 7.1161 Å, c = 4.6340 Å
α = 90.00°, β = 90.00°, γ = 90.00°
Closest atoms and distances in Å follow each position.
Sites, in units of the cell vectors:
Cd 0.6472 0.8528 0.5000  1 Cd 2.96, 6 Zr 3.06-3.16
Cd 0.8528 0.3528 0.5000  1 Cd 2.96, 6 Zr 3.06-3.16
Cd 0.3528 0.1472 0.5000  1 Cd 2.96, 6 Zr 3.06-3.16
Cd 0.1472 0.6472 0.5000  1 Cd 2.96, 6 Zr 3.06-3.16
Br 0.0000 0.0000 0.0000  4 Zr 2.69
Br 0.5000 0.5000 0.0000  4 Zr 2.69
Zr 0.8454 0.6546 0.0000  2 Br 2.69
Zr 0.6546 0.1546 0.0000  2 Br 2.69
Zr 0.1546 0.3454 0.0000  2 Br 2.69
Zr 0.3454 0.8454 0.0000  2 Br 2.69

=====

(8)
A relaxed structure of ZrCdBr, computed with PBE-GGA.

Summary:
DOS(E_F) ... 2.50 states/eV/cell
E_form (uncorrected) ... -0.085 eV per atom
Offset from the most stable computed form ... 0.4081 eV per atom
Crystal system ... hexagonal

a = 4.8093 Å, b = 4.8093 Å, c = 3.4821 Å
α = 90.00°, β = 90.00°, γ = 120.00°
Closest atoms and distances in Å follow each position.
Sites, in units of the cell vectors:
Cd 0.3333 0.6667 0.3334  6 Br 3.28, 6 Zr 3.28, 2 Cd 3.48
Zr 0.6667 0.3333 0.8335  3 Br 2.78
Br 0.0000 0.0000 0.8331  3 Zr 2.78

=====

> What is the DOS(E_F) in the eighth record?

2.50 states/eV/cell

=====

Repeat the sixth record exactly.
A relaxed structure of ZrCdBr4, computed with PBE-GGA.

Summary:
DOS(E_F) ... 10.32 states/eV/cell
E_form (uncorrected) ... 0.513 eV per atom
Crystal system ... cubic

a = 6.2070 Å, b = 6.2070 Å, c = 6.2070 Å
α = 60.00°, β = 60.00°, γ = 60.00°
Closest atoms and distances in Å follow each position.
Sites, in units of the cell vectors:
Br 0.8773 0.3742 0.3742  6 Br 3.08-3.12
Br 0.3742 0.3742 0.8773  6 Br 3.08-3.12
Br 0.3742 0.8773 0.3742  6 Br 3.08-3.12
Br 0.3742 0.3742 0.3742  6 Br 3.08-3.12
Zr 0.0000 0.0000 0.0000  12 Br 3.64, 4 Cd 3.80
Cd 0.7500 0.7500 0.7500  12 Br 3.64, 4 Zr 3.80

=====

> What is the formula in the first record?

ZrCd2Br

=====

Copy entry 8 word for word.
A relaxed structure of ZrCdBr, computed with PBE-GGA.

Summary:
DOS(E_F) ... 2.50 states/eV/cell
E_form (uncorrected) ... -0.085 eV per atom
Offset from the most stable computed form ... 0.4081 eV per atom
Crystal system ... hexagonal

a = 4.8093 Å, b = 4.8093 Å, c = 3.4821 Å
α = 90.00°, β = 90.00°, γ = 120.00°
Closest atoms and distances in Å follow each position.
Sites, in units of the cell vectors:
Cd 0.3333 0.6667 0.3334  6 Br 3.28, 6 Zr 3.28, 2 Cd 3.48
Zr 0.6667 0.3333 0.8335  3 Br 2.78
Br 0.0000 0.0000 0.8331  3 Zr 2.78